# SnPNF2 (GGA-PBE, optimized geometry)
# Total DFT energy (no corrections), eV/atom: -4.44
# Spin magnetization, μB/f.u.: 1.649
# E above lowest polymorph, eV per formula unit: 2.11
data_SnPNF2
_chemical_formula_sum 'Sn1 P1 N1 F2'
_cell_length_a 4.224
_cell_length_b 4.224
_cell_length_c 4.199
_cell_angle_alpha 90.00
_cell_angle_beta 90.00
_cell_angle_gamma 90.00
_symmetry_space_group_name_H-M 'P 4/m m m'
_symmetry_Int_Tables_number 123
_symmetry_space_group_name_Hall '-P 4 2'
loop_
_atom_site_label
_atom_site_fract_x
_atom_site_fract_y
_atom_site_fract_z
Sn1 0.000 0.000 0.000
P1 0.500 0.500 0.500
N1 0.000 0.000 0.500
F1 0.000 0.500 0.000